(1)
# Na2AgBiF6 | Alexandria via LeMat-Bulk | PBE-GGA | optimized geometry
data_Na2AgBiF6
_chemical_formula_sum 'Na4 Ag2 Bi2 F12'
_cell_length_a 6.048
_cell_length_b 6.077
_cell_length_c 9.057
_cell_angle_alpha 90.00
_cell_angle_beta 89.11
_cell_angle_gamma 90.00
_symmetry_space_group_name_H-M 'P 1'
_symmetry_Int_Tables_number 1
loop_
_symmetry_equiv_pos_as_xyz
'x,y,z'
loop_
_atom_site_label
_atom_site_type_symbol
_atom_site_fract_x
_atom_site_fract_y
_atom_site_fract_z
Na1 Na 0.001 0.971 0.286
Na2 Na 0.501 0.529 0.786
Na3 Na 0.999 0.029 0.714
Na4 Na 0.499 0.471 0.214
Ag1 Ag 0.500 0.000 0.000
Ag2 Ag 0.000 0.500 0.500
Bi1 Bi 0.500 0.000 0.500
Bi2 Bi 0.000 0.500 0.000
F1 F 0.333 0.670 0.027
F2 F 0.833 0.830 0.527
F3 F 0.667 0.330 0.973
F4 F 0.167 0.170 0.473
F5 F 0.329 0.724 0.373
F6 F 0.829 0.776 0.873
F7 F 0.671 0.276 0.627
F8 F 0.171 0.224 0.127
F9 F 0.849 0.644 0.210
F10 F 0.349 0.856 0.710
F11 F 0.151 0.356 0.790
F12 F 0.651 0.144 0.290
# - symmetry = P2_1/c
# - energy relative to the elements, uncorrected (meV per atom) = -2268

---

(2)
# Dy2VTe | Alexandria via LeMat-Bulk | PBE-GGA | optimized geometry
data_Dy2VTe
_chemical_formula_sum 'Dy2 V1 Te1'
_cell_length_a 3.713
_cell_length_b 3.713
_cell_length_c 10.152
_cell_angle_alpha 79.46
_cell_angle_beta 79.46
_cell_angle_gamma 60.00
_symmetry_space_group_name_H-M 'P 1'
_symmetry_Int_Tables_number 1
loop_
_symmetry_equiv_pos_as_xyz
'x,y,z'
loop_
_atom_site_label
_atom_site_type_symbol
_atom_site_fract_x
_atom_site_fract_y
_atom_site_fract_z
V1 V 0.000 0.000 0.000
Te1 Te 0.500 0.500 0.500
Dy1 Dy 0.095 0.095 0.716
Dy2 Dy 0.905 0.905 0.284
# - symmetry = R-3m
# - energy relative to the elements, uncorrected (meV per atom) = 287

---

(3)
# ReSBr3 | Alexandria via LeMat-Bulk | PBE-GGA | optimized geometry
data_ReSBr3
_chemical_formula_sum 'Re1 S1 Br3'
_cell_length_a 5.000
_cell_length_b 5.000
_cell_length_c 5.000
_cell_angle_alpha 90.00
_cell_angle_beta 90.00
_cell_angle_gamma 90.00
_symmetry_space_group_name_H-M 'P 1'
_symmetry_Int_Tables_number 1
loop_
_symmetry_equiv_pos_as_xyz
'x,y,z'
loop_
_atom_site_label
_atom_site_type_symbol
_atom_site_fract_x
_atom_site_fract_y
_atom_site_fract_z
Re1 Re 0.000 0.000 0.000
S1 S 0.500 0.500 0.500
Br1 Br 0.000 0.500 0.000
Br2 Br 0.000 0.000 0.500
Br3 Br 0.500 0.000 0.000
# - symmetry = Pm-3m
# - energy relative to the elements, uncorrected (meV per atom) = 839
# - energy above the lowest structure with this stoichiometry (kJ per mole of atoms) = 112.4